[1]
# GGA-PBE TmSc5Pd4, optimized geometry
# E_form in eV/atom: -0.700
data_TmSc5Pd4
_cell_length_a 3.3011
_cell_length_b 3.3011
_cell_length_c 18.3072
_cell_angle_alpha 90.00
_cell_angle_beta 90.00
_cell_angle_gamma 90.00
_symmetry_space_group_name_H-M 'P 4/m m m'
_symmetry_Int_Tables_number 123
_symmetry_space_group_name_Hall '-P 4 2'
loop_
_atom_site_label
_atom_site_type_symbol
_atom_site_fract_x
_atom_site_fract_y
_atom_site_fract_z
_atom_site_occupancy
Tm1 Tm 0.0000 0.0000 0.0000 1
Sc1 Sc 0.5000 0.5000 0.1351 1
Sc2 Sc 0.5000 0.5000 0.3164 1
Sc3 Sc 0.5000 0.5000 0.5000 1
Pd1 Pd 0.0000 0.0000 0.2270 1
Pd2 Pd 0.0000 0.0000 0.4082 1



[2]
# GGA-PBE Tm2ScPd, optimized geometry
# E_form in eV/atom: -0.332
data_Tm2ScPd
_cell_length_a 5.0153
_cell_length_b 5.0153
_cell_length_c 3.6913
_cell_angle_alpha 90.00
_cell_angle_beta 90.00
_cell_angle_gamma 90.00
_symmetry_space_group_name_H-M 'P 4/m m m'
_symmetry_Int_Tables_number 123
_symmetry_space_group_name_Hall '-P 4 2'
loop_
_atom_site_label
_atom_site_type_symbol
_atom_site_fract_x
_atom_site_fract_y
_atom_site_fract_z
_atom_site_occupancy
Tm1 Tm 0.0000 0.5000 0.0000 1
Sc1 Sc 0.0000 0.0000 0.5000 1
Pd1 Pd 0.5000 0.5000 0.5000 1



[3]
# GGA-PBE Tm2ScPd, optimized geometry
# E_form in eV/atom: -0.412
data_Tm2ScPd
_cell_length_a 3.4634
_cell_length_b 3.4634
_cell_length_c 8.0390
_cell_angle_alpha 90.00
_cell_angle_beta 90.00
_cell_angle_gamma 90.00
_symmetry_space_group_name_H-M 'P 4 m m'
_symmetry_Int_Tables_number 99
loop_
_symmetry_equiv_pos_as_xyz
'x,y,z'
'-y,x,z'
'-x,-y,z'
'y,-x,z'
'-x,y,z'
'y,x,z'
'x,-y,z'
'-y,-x,z'
loop_
_atom_site_label
_atom_site_type_symbol
_atom_site_fract_x
_atom_site_fract_y
_atom_site_fract_z
_atom_site_occupancy
Tm1 Tm 0.0000 0.0000 0.0000 1
Tm2 Tm 0.5000 0.5000 0.3116 1
Sc1 Sc 0.0000 0.0000 0.5982 1
Pd1 Pd 0.5000 0.5000 0.7865 1



[4]
# GGA-PBE Tm2ScPd4, optimized geometry
# E_form in eV/atom: -0.755
data_Tm2ScPd4
_cell_length_a 4.7128
_cell_length_b 4.7128
_cell_length_c 23.1321
_cell_angle_alpha 90.00
_cell_angle_beta 90.00
_cell_angle_gamma 120.00
_symmetry_space_group_name_H-M 'R -3 m'
_symmetry_Int_Tables_number 166
_symmetry_space_group_name_Hall '-R 3 2"'
loop_
_atom_site_label
_atom_site_type_symbol
_atom_site_fract_x
_atom_site_fract_y
_atom_site_fract_z
_atom_site_occupancy
Tm1 Tm 0.0000 0.0000 0.2407 1
Sc1 Sc 0.0000 0.0000 0.0000 1
Pd1 Pd 0.0000 0.0000 0.1186 1
Pd2 Pd 0.0000 0.0000 0.3675 1



[5]
# GGA-PBE TmScPd4, optimized geometry
# E_form in eV/atom: -0.808
data_TmScPd4
_cell_length_a 9.6017
_cell_length_b 3.5897
_cell_length_c 6.6240
_cell_angle_alpha 90.00
_cell_angle_beta 109.98
_cell_angle_gamma 90.00
_symmetry_space_group_name_H-M 'C 1 2/m 1'
_symmetry_Int_Tables_number 12
loop_
_symmetry_equiv_pos_as_xyz
'x,y,z'
'-x,-y,-z'
'-x,y,-z'
'x,-y,z'
'x+1/2,y+1/2,z'
'-x+1/2,-y+1/2,-z'
'-x+1/2,y+1/2,-z'
'x+1/2,-y+1/2,z'
loop_
_atom_site_label
_atom_site_type_symbol
_atom_site_fract_x
_atom_site_fract_y
_atom_site_fract_z
_atom_site_occupancy
Tm1 Tm 0.0000 0.0000 0.0000 1
Sc1 Sc 0.0000 0.0000 0.5000 1
Pd1 Pd 0.1605 0.5000 0.3433 1
Pd2 Pd 0.1663 0.5000 0.8198 1



[6]
# GGA-PBE Tm2ScPd, optimized geometry
# E_form in eV/atom: -0.457
data_Tm2ScPd
_cell_length_a 3.6206
_cell_length_b 12.1381
_cell_length_c 8.8690
_cell_angle_alpha 90.00
_cell_angle_beta 90.00
_cell_angle_gamma 90.00
_symmetry_space_group_name_H-M 'C m c m'
_symmetry_Int_Tables_number 63
_symmetry_space_group_name_Hall '-C 2c 2'
loop_
_atom_site_label
_atom_site_type_symbol
_atom_site_fract_x
_atom_site_fract_y
_atom_site_fract_z
_atom_site_occupancy
Tm1 Tm 0.0000 0.1328 0.0559 1
Sc1 Sc 0.0000 0.4459 0.2500 1
Pd1 Pd 0.0000 0.2500 0.7500 1



Among the records above, which one has the lowest E_form?
TmScPd4



What did the fourth record say?
# GGA-PBE Tm2ScPd4, optimized geometry
# E_form in eV/atom: -0.755
data_Tm2ScPd4
_cell_length_a 4.7128
_cell_length_b 4.7128
_cell_length_c 23.1321
_cell_angle_alpha 90.00
_cell_angle_beta 90.00
_cell_angle_gamma 120.00
_symmetry_space_group_name_H-M 'R -3 m'
_symmetry_Int_Tables_number 166
_symmetry_space_group_name_Hall '-R 3 2"'
loop_
_atom_site_label
_atom_site_type_symbol
_atom_site_fract_x
_atom_site_fract_y
_atom_site_fract_z
_atom_site_occupancy
Tm1 Tm 0.0000 0.0000 0.2407 1
Sc1 Sc 0.0000 0.0000 0.0000 1
Pd1 Pd 0.0000 0.0000 0.1186 1
Pd2 Pd 0.0000 0.0000 0.3675 1



Copy entry 1 word for word.
# GGA-PBE TmSc5Pd4, optimized geometry
# E_form in eV/atom: -0.700
data_TmSc5Pd4
_cell_length_a 3.3011
_cell_length_b 3.3011
_cell_length_c 18.3072
_cell_angle_alpha 90.00
_cell_angle_beta 90.00
_cell_angle_gamma 90.00
_symmetry_space_group_name_H-M 'P 4/m m m'
_symmetry_Int_Tables_number 123
_symmetry_space_group_name_Hall '-P 4 2'
loop_
_atom_site_label
_atom_site_type_symbol
_atom_site_fract_x
_atom_site_fract_y
_atom_site_fract_z
_atom_site_occupancy
Tm1 Tm 0.0000 0.0000 0.0000 1
Sc1 Sc 0.5000 0.5000 0.1351 1
Sc2 Sc 0.5000 0.5000 0.3164 1
Sc3 Sc 0.5000 0.5000 0.5000 1
Pd1 Pd 0.0000 0.0000 0.2270 1
Pd2 Pd 0.0000 0.0000 0.4082 1